# 1
RbSc2Ru | the Alexandria database | PBEsol | relaxed; D(E_F) = 3.7 states/eV/f.u.; raw total energy = -5.49 eV per atom; magnetic moment = 0.00 μB per atom; formation energy = 14.22 kcal/mol of atoms
1.0
6.9384 0.0000 0.0000
0.0000 6.9384 0.0000
0.0000 0.0000 6.9384
Rb Sc Ru
4 8 4
Direct
0.0000 0.0000 0.0000
0.0000 0.5000 0.5000
0.5000 0.0000 0.5000
0.5000 0.5000 0.0000
0.2500 0.2500 0.2500
0.2500 0.2500 0.7500
0.2500 0.7500 0.2500
0.2500 0.7500 0.7500
0.7500 0.2500 0.2500
0.7500 0.2500 0.7500
0.7500 0.7500 0.2500
0.7500 0.7500 0.7500
0.0000 0.0000 0.5000
0.0000 0.5000 0.0000
0.5000 0.0000 0.0000
0.5000 0.5000 0.5000

# 2
Rb2ScRu | the Alexandria database | PBEsol | relaxed; D(E_F) = 7.9 states/eV/f.u.; raw total energy = -3.02 eV per atom; magnetic moment = 0.09 μB per atom; formation energy = 38.86 kcal/mol of atoms
1.0
7.7025 0.0000 0.0000
0.0000 7.7025 0.0000
0.0000 0.0000 7.7025
Rb Sc Ru
8 4 4
Direct
0.2500 0.2500 0.2500
0.2500 0.2500 0.7500
0.2500 0.7500 0.2500
0.2500 0.7500 0.7500
0.7500 0.2500 0.2500
0.7500 0.2500 0.7500
0.7500 0.7500 0.2500
0.7500 0.7500 0.7500
0.0000 0.0000 0.0000
0.0000 0.5000 0.5000
0.5000 0.0000 0.5000
0.5000 0.5000 0.0000
0.0000 0.0000 0.5000
0.0000 0.5000 0.0000
0.5000 0.0000 0.0000
0.5000 0.5000 0.5000

# 3
Rb3RuSe | the Alexandria database | PBEsol | relaxed; uncorrected formation energy = 0.70 eV per atom; D(E_F) = 5.7 states/eV/f.u.; raw total energy = -2.72 eV per atom; magnetic moment = 0.00 μB per atom
1.0
5.3993 0.0000 0.0000
0.0000 5.3993 0.0000
0.0000 0.0000 5.3993
Rb Ru Se
3 1 1
Direct
0.0000 0.0000 0.5000
0.0000 0.5000 0.0000
0.5000 0.0000 0.0000
0.0000 0.0000 0.0000
0.5000 0.5000 0.5000

# 4
RbSrRu2Se | the Alexandria database | PBEsol | relaxed; uncorrected formation energy = 1.60 eV per atom; D(E_F) = 6.6 states/eV/f.u.; raw total energy = -3.81 eV per atom; magnetic moment = 0.83 μB per atom
1.0
5.0882 0.0000 0.0000
0.0000 5.0882 0.0000
0.0000 0.0000 5.8456
Rb Sr Ru Se
1 1 2 1
Direct
0.0000 0.0000 0.0000
0.5000 0.5000 0.5000
0.0000 0.5000 0.5000
0.5000 0.0000 0.5000
0.5000 0.5000 0.0000

# 5
Rb3SnRu | the Alexandria database | PBEsol | relaxed; D(E_F) = 7.4 states/eV/f.u.; raw total energy = -2.31 eV per atom; magnetic moment = 0.53 μB per atom; formation energy = 27.52 kcal/mol of atoms
1.0
5.7941 0.0000 0.0000
0.0000 5.7941 0.0000
0.0000 0.0000 5.7941
Rb Sn Ru
3 1 1
Direct
0.0000 0.0000 0.5000
0.0000 0.5000 0.0000
0.5000 0.0000 0.0000
0.5000 0.5000 0.5000
0.0000 0.0000 0.0000

# 6
RbSnRu3 | the Alexandria database | PBEsol | relaxed; D(E_F) = 8.1 states/eV/f.u.; raw total energy = -4.28 eV per atom; magnetic moment = 0.84 μB per atom; formation energy = 66.36 kcal/mol of atoms
1.0
4.7165 0.0000 0.0000
0.0000 4.7165 0.0000
0.0000 0.0000 4.7165
Rb Sn Ru
1 1 3
Direct
0.0000 0.0000 0.0000
0.5000 0.5000 0.5000
0.0000 0.0000 0.5000
0.0000 0.5000 0.0000
0.5000 0.0000 0.0000